No. 1
## Li3ThAs4O12 (GGA-PBE)

Data for an optimized crystal structure of Li3ThAs4O12.

Computed properties:
Total moment = 0.6 μB per cell
E_form (uncorrected) = -1.449 eV per atom
SG = No. 155

Cell and atoms, written as POSCAR:
```
Li3ThAs4O12
1.0
5.406 3.121 2.697
-5.406 3.121 2.697
0.000 -6.242 2.697
Li Th As O
3 1 4 12
direct
0.000 0.583 0.417
0.417 0.000 0.583
0.583 0.417 0.000
0.000 0.000 0.000
0.079 0.500 0.921
0.500 0.500 0.500
0.500 0.921 0.079
0.921 0.079 0.500
0.012 0.676 0.778
0.077 0.923 0.500
0.222 0.324 0.988
0.324 0.988 0.222
0.346 0.654 0.500
0.500 0.077 0.923
0.500 0.346 0.654
0.654 0.500 0.346
0.676 0.778 0.012
0.778 0.012 0.676
0.923 0.500 0.077
0.988 0.222 0.324
```

No. 2
## LiTiAsO5 (GGA-PBE)

Data for an optimized crystal structure of LiTiAsO5.

Computed properties:
Total moment = 0.0 μB per cell
E_form (uncorrected) = -2.084 eV per atom
SG = No. 15

Cell and atoms, written as POSCAR:
```
LiTiAsO5
1.0
3.208 -4.487 0.000
3.208 4.487 0.000
-2.894 0.000 6.559
Li Ti As O
2 2 2 10
direct
0.210 0.790 0.750
0.790 0.210 0.250
0.500 0.500 0.000
0.500 0.500 0.500
0.191 0.809 0.250
0.809 0.191 0.750
0.111 0.265 0.933
0.165 0.568 0.370
0.265 0.111 0.433
0.431 0.569 0.750
0.432 0.835 0.130
0.568 0.165 0.870
0.569 0.431 0.250
0.735 0.889 0.567
0.835 0.432 0.630
0.889 0.735 0.067
```